A plane-wave DFT calculation with PBE was carried out for a relaxed structure of ScHg2Te.

Cell and atoms, written as CIF:
```
data_ScHg2Te
_chemical_formula_sum 'Sc1 Hg2 Te1'
_symmetry_space_group_name_H-M 'P 1 m 1'
_symmetry_Int_Tables_number 6
_cell_length_a 4.049
_cell_length_b 3.942
_cell_length_c 7.015
_cell_angle_alpha 90.00
_cell_angle_beta 106.12
_cell_angle_gamma 90.00
loop_
_symmetry_equiv_pos_as_xyz
'x,y,z'
'x,-y,z'
loop_
_atom_site_label
_atom_site_fract_x
_atom_site_fract_y
_atom_site_fract_z
_atom_site_occupancy
Sc1 0.000 0.000 0.000 1
Hg1 0.172 0.500 0.332 1
Hg2 0.771 0.000 0.535 1
Te1 0.440 0.500 0.876 1
```

Values from the calculation:
Raw formation energy (eV per atom): -0.4597
Calculated volume (Å³ per atom): 26.9


A plane-wave DFT calculation with PBE was carried out for a relaxed structure of SiIr2Pb.

Cell and atoms, written as CIF:
```
data_SiIr2Pb
_chemical_formula_sum 'Si4 Ir8 Pb4'
_symmetry_space_group_name_H-M 'F -4 3 m'
_symmetry_Int_Tables_number 216
_symmetry_space_group_name_Hall 'F -4 2 3'
_cell_length_a 6.503
_cell_length_b 6.503
_cell_length_c 6.503
_cell_angle_alpha 90.00
_cell_angle_beta 90.00
_cell_angle_gamma 90.00
loop_
_atom_site_label
_atom_site_fract_x
_atom_site_fract_y
_atom_site_fract_z
_atom_site_occupancy
Si1 0.000 0.000 0.000 1
Ir1 0.000 0.000 0.500 1
Ir2 0.250 0.250 0.250 1
Pb1 0.250 0.250 0.750 1
```

Values from the calculation:
Energy above the lowest structure with this stoichiometry (meV per atom): 714
Raw formation energy (eV per atom): 0.5945
Calculated volume (Å³ per atom): 17.2